Material: LiMoN2
Method: DFT, GGA-PBE
State: relaxed

Output
* space-group type: R-3m (166)
* spin magnetization: 0.0000 μB per atom
* VASP energy: -30.3 eV for the cell shown

abc: 6.261 6.261 6.261
angles: 27.82 27.82 27.82
Positions (direct):
Li  0.000  0.000  0.000
Mo  0.500  0.500  0.500
N  0.103  0.103  0.103
N  0.897  0.897  0.897



Material: LiMoN2
Method: DFT, GGA-PBE
State: relaxed

Output
* space-group type: Fm-3m (225)
* spin magnetization: 0.2837 μB per atom
* VASP energy: -28.6 eV for the cell shown

abc: 3.653 3.653 3.653
angles: 60.00 60.00 60.00
Positions (direct):
Li  0.000  0.000  0.000
Mo  0.500  0.500  0.500
N  0.250  0.250  0.250
N  0.750  0.750  0.750



Material: LiMoN
Method: DFT, GGA-PBE
State: relaxed

Output
* space-group type: P4_2/m (84)
* spin magnetization: 0.0000 μB per atom
* VASP energy: -88.5 eV for the cell shown

abc: 6.766 6.766 3.060
angles: 90.00 90.00 90.00
Positions (direct):
Li  0.052  0.253  0.000
Li  0.253  0.948  0.500
Li  0.747  0.052  0.500
Li  0.948  0.747  0.000
Mo  0.255  0.541  0.500
Mo  0.459  0.255  0.000
Mo  0.541  0.745  0.000
Mo  0.745  0.459  0.500
N  0.238  0.746  0.000
N  0.254  0.238  0.500
N  0.746  0.762  0.500
N  0.762  0.254  0.000



Material: Li3MoN3
Method: DFT, GGA-PBE
State: relaxed

Output
* space-group type: C2/m (12)
* spin magnetization: 0.0000 μB per atom
* VASP energy: -90.0 eV for the cell shown

abc: 5.855 5.855 5.624
angles: 92.15 92.15 116.87
Positions (direct):
Li  0.219  0.781  0.000
Li  0.266  0.734  0.500
Li  0.388  0.388  0.149
Li  0.612  0.612  0.851
Li  0.734  0.266  0.500
Li  0.781  0.219  0.000
Mo  0.194  0.194  0.650
Mo  0.806  0.806  0.350
N  0.115  0.115  0.305
N  0.191  0.487  0.766
N  0.487  0.191  0.766
N  0.513  0.809  0.234
N  0.809  0.513  0.234
N  0.885  0.885  0.695



Repeat the third record exactly.
Material: LiMoN
Method: DFT, GGA-PBE
State: relaxed

Output
* space-group type: P4_2/m (84)
* spin magnetization: 0.0000 μB per atom
* VASP energy: -88.5 eV for the cell shown

abc: 6.766 6.766 3.060
angles: 90.00 90.00 90.00
Positions (direct):
Li  0.052  0.253  0.000
Li  0.253  0.948  0.500
Li  0.747  0.052  0.500
Li  0.948  0.747  0.000
Mo  0.255  0.541  0.500
Mo  0.459  0.255  0.000
Mo  0.541  0.745  0.000
Mo  0.745  0.459  0.500
N  0.238  0.746  0.000
N  0.254  0.238  0.500
N  0.746  0.762  0.500
N  0.762  0.254  0.000